No. 1
RbTe2Se2 | GGA-PBE | relaxed

The structure in extended XYZ format:
```
10
Lattice="4.293 -8.209 0.000 4.293 8.209 0.000 -3.737 0.000 5.920" Properties=species:S:1:pos:R:3 pbc="T T T"
Rb 1.490 6.205 4.440
Rb 3.359 -6.205 1.480
Te 2.924 2.684 0.024
Te 3.793 2.684 2.935
Te 1.055 -2.684 2.984
Te 1.925 -2.684 5.895
Se 3.359 6.568 1.480
Se 1.490 2.725 4.440
Se 3.359 -2.725 1.480
Se 1.490 -6.568 4.440
```

## Properties
raw formation energy = -0.319 eV/atom
relative energy among the computed polymorphs = 0.483 kcal/mol of atoms
spin magnetization = 0.000 Bohr magnetons per cell
V = 417.23 Å³/cell
symmetry = No. 15



No. 2
PrTm2Ni | GGA-PBE | relaxed

The structure in extended XYZ format:
```
4
Lattice="3.416 0.000 0.000 0.000 3.416 0.000 0.000 0.000 8.773" Properties=species:S:1:pos:R:3 pbc="T T T"
Pr 0.000 0.000 0.000
Tm 1.708 1.708 2.804
Tm 1.708 1.708 5.968
Ni 0.000 0.000 4.386
```

## Properties
relative energy among the computed polymorphs = 0.000 kcal/mol of atoms
spin magnetization = 0.000 Bohr magnetons per cell
V = 102.35 Å³/cell
symmetry = No. 123



No. 3
Sm6Ge2AsS3 | GGA-PBE | relaxed

The structure in extended XYZ format:
```
12
Lattice="9.001 -2.074 0.000 9.001 2.074 0.000 -1.836 0.000 8.057" Properties=species:S:1:pos:R:3 pbc="T T T"
Sm -0.441 0.000 2.024
Sm 4.312 0.000 7.374
Sm 5.240 0.000 3.356
Sm 10.926 0.000 4.701
Sm 11.854 0.000 0.683
Sm 16.607 0.000 6.034
Ge 2.387 0.000 2.682
Ge 13.780 0.000 5.376
As 9.001 0.000 0.000
S 1.452 0.000 6.719
S 8.083 0.000 4.029
S 14.715 0.000 1.338
```

## Properties
raw formation energy = -1.586 eV/atom
spin magnetization = 0.000 Bohr magnetons per cell
V = 300.86 Å³/cell
symmetry = No. 12



No. 4
Hf2PS | GGA-PBE | relaxed

The structure in extended XYZ format:
```
4
Lattice="1.782 1.029 6.465 -1.782 1.029 6.465 0.000 -2.058 6.465" Properties=species:S:1:pos:R:3 pbc="T T T"
Hf 0.000 0.000 0.000
Hf 0.000 0.000 3.453
P 0.000 0.000 11.415
S 0.000 0.000 8.152
```

## Properties
raw formation energy = -1.270 eV/atom
relative energy among the computed polymorphs = 0.000 kcal/mol of atoms
spin magnetization = 0.000 Bohr magnetons per cell
V = 71.14 Å³/cell
symmetry = No. 160



No. 5
In3OsC | GGA-PBE | relaxed

The structure in extended XYZ format:
```
5
Lattice="5.172 0.000 0.000 0.000 5.172 0.000 0.000 0.000 5.172" Properties=species:S:1:pos:R:3 pbc="T T T"
In 0.000 0.000 2.586
In 0.000 2.586 0.000
In 2.586 0.000 0.000
Os 0.000 0.000 0.000
C 2.586 2.586 2.586
```

## Properties
relative energy among the computed polymorphs = 3.926 kcal/mol of atoms
spin magnetization = 2.217 Bohr magnetons per cell
V = 138.38 Å³/cell
symmetry = No. 221



No. 6
Tc2RuO | GGA-PBE | relaxed

The structure in extended XYZ format:
```
8
Lattice="-2.566 2.566 4.837 2.566 -2.566 4.837 2.566 2.566 -4.837" Properties=species:S:1:pos:R:3 pbc="T T T"
Tc 3.849 0.955 -1.209
Tc 0.955 1.283 1.209
Tc -1.283 1.610 3.628
Tc 1.610 1.283 6.046
Ru 2.566 0.000 2.418
Ru 0.000 0.000 4.837
O 0.000 0.000 0.000
O 0.000 2.566 2.418
```

## Properties
raw formation energy = 0.264 eV/atom
spin magnetization = 0.000 Bohr magnetons per cell
V = 127.36 Å³/cell
symmetry = No. 122



What did the fifth record say?
In3OsC | GGA-PBE | relaxed

The structure in extended XYZ format:
```
5
Lattice="5.172 0.000 0.000 0.000 5.172 0.000 0.000 0.000 5.172" Properties=species:S:1:pos:R:3 pbc="T T T"
In 0.000 0.000 2.586
In 0.000 2.586 0.000
In 2.586 0.000 0.000
Os 0.000 0.000 0.000
C 2.586 2.586 2.586
```

## Properties
relative energy among the computed polymorphs = 3.926 kcal/mol of atoms
spin magnetization = 2.217 Bohr magnetons per cell
V = 138.38 Å³/cell
symmetry = No. 221



Please write out number 1 again, unchanged.
RbTe2Se2 | GGA-PBE | relaxed

The structure in extended XYZ format:
```
10
Lattice="4.293 -8.209 0.000 4.293 8.209 0.000 -3.737 0.000 5.920" Properties=species:S:1:pos:R:3 pbc="T T T"
Rb 1.490 6.205 4.440
Rb 3.359 -6.205 1.480
Te 2.924 2.684 0.024
Te 3.793 2.684 2.935
Te 1.055 -2.684 2.984
Te 1.925 -2.684 5.895
Se 3.359 6.568 1.480
Se 1.490 2.725 4.440
Se 3.359 -2.725 1.480
Se 1.490 -6.568 4.440
```

## Properties
raw formation energy = -0.319 eV/atom
relative energy among the computed polymorphs = 0.483 kcal/mol of atoms
spin magnetization = 0.000 Bohr magnetons per cell
V = 417.23 Å³/cell
symmetry = No. 15



Q: Which of these has the highest V?
A: RbTe2Se2